(1)
{"formula": "MnAlOs2", "functional": "PBE", "state": "optimized geometry", "formation_energy_mev_per_atom": -141.5, "dos_at_fermi_per_ev_cell": 2.387, "dft_energy_ev_per_cell": -35.94, "lattice": [[4.678, -1.415, 0.000], [4.678, 1.415, 0.000], [-1.629, 0.000, 4.129]], "species": ["Mn", "Al", "Os", "Os"], "frac_coords": [[0.000, 0.000, 0.000], [0.751, 0.751, 0.369], [0.250, 0.250, 0.879], [0.502, 0.502, 0.501]]}



(2)
{"formula": "LiHgPd", "functional": "PBE", "state": "optimized geometry", "formation_energy_mev_per_atom": -321.0, "dos_at_fermi_per_ev_cell": 0.851, "dft_energy_ev_per_cell": -16.74, "lattice": [[2.370, -4.084, 0.000], [2.370, 4.084, 0.000], [0.000, 0.000, 5.542]], "species": ["Li", "Li", "Hg", "Hg", "Pd", "Pd"], "frac_coords": [[0.000, 0.000, 0.000], [0.000, 0.000, 0.500], [0.335, 0.665, 0.750], [0.665, 0.335, 0.250], [0.330, 0.670, 0.250], [0.670, 0.330, 0.750]]}



What did the second record say?
{"formula": "LiHgPd", "functional": "PBE", "state": "optimized geometry", "formation_energy_mev_per_atom": -321.0, "dos_at_fermi_per_ev_cell": 0.851, "dft_energy_ev_per_cell": -16.74, "lattice": [[2.370, -4.084, 0.000], [2.370, 4.084, 0.000], [0.000, 0.000, 5.542]], "species": ["Li", "Li", "Hg", "Hg", "Pd", "Pd"], "frac_coords": [[0.000, 0.000, 0.000], [0.000, 0.000, 0.500], [0.335, 0.665, 0.750], [0.665, 0.335, 0.250], [0.330, 0.670, 0.250], [0.670, 0.330, 0.750]]}